The following is a DFT calculation (SCAN) of Zr3CuPt at its PBEsol-relaxed geometry.

Calculated total energy in eV per atom: -35.19

Cell and atoms, written as POSCAR:
```
Zr3CuPt
1.0
4.742 0.000 0.000
0.000 4.742 0.000
0.000 0.000 4.742
Pt Cu Zr
1 1 3
Direct
0.500 0.500 0.500
0.000 0.000 0.000
0.500 0.000 0.000
0.000 0.500 0.000
0.000 0.000 0.500
```